Entry 1:
A geometry-optimized NaTaCd structure, computed with PBE-GGA.

a b c (Å): 2.967 15.743 2.966
angles (deg): 89.90 108.12 90.39
Atoms (fractional coordinates):
Ta 0.141 0.134 0.046
Ta 0.635 0.998 0.546
Na 0.143 0.466 0.050
Na 0.617 0.665 0.548
Cd 0.128 0.841 0.045
Cd 0.647 0.290 0.547

Output
Final energy in eV per atom: -4.558
Calculated volume in Å³/cell: 131.7
DOS(E_F) in states/eV/f.u.: 1.49
Relative energy among the computed polymorphs in eV per atom: 0.000

Entry 2:
A geometry-optimized NaTlCd2In structure, computed with PBE-GGA.

a b c (Å): 4.756 8.529 6.737
angles (deg): 90.00 90.00 106.19
Atoms (fractional coordinates):
Cd 0.695 0.391 0.003
Cd 0.305 0.609 0.503
Cd 0.695 0.391 0.497
Cd 0.305 0.609 0.997
Na 0.500 0.000 0.000
Na 0.500 0.000 0.500
In 0.123 0.247 0.750
In 0.877 0.753 0.250
Tl 0.897 0.794 0.750
Tl 0.103 0.206 0.250

Output
Final energy in eV per atom: -1.695
Calculated volume in Å³/cell: 262.4
DOS(E_F) in states/eV/f.u.: 1.98

Entry 3:
A geometry-optimized Nb2CdNi structure, computed with PBE-GGA.

a b c (Å): 7.412 7.412 5.862
angles (deg): 50.79 50.79 90.00
Atoms (fractional coordinates):
Ni 0.250 0.750 0.500
Ni 0.500 0.500 0.000
Nb 0.875 0.831 0.750
Nb 0.169 0.625 0.250
Nb 0.581 0.125 0.250
Nb 0.375 0.419 0.750
Cd 0.750 0.250 0.500
Cd 0.000 0.000 0.000

Output
Final energy in eV per atom: -6.304
Calculated volume in Å³/cell: 144.3
DOS(E_F) in states/eV/f.u.: 3.43

Entry 4:
A geometry-optimized Pr3Pu2Rh4 structure, computed with PBE-GGA.

a b c (Å): 4.255 6.053 9.170
angles (deg): 99.41 90.00 110.58
Atoms (fractional coordinates):
Rh 0.300 0.599 0.909
Rh 0.085 0.171 0.632
Rh 0.915 0.829 0.368
Rh 0.700 0.401 0.091
Pu 0.679 0.359 0.788
Pu 0.321 0.641 0.212
Pr 0.000 0.000 0.000
Pr 0.377 0.755 0.612
Pr 0.623 0.245 0.388

Output
Final energy in eV per atom: -8.580
Calculated volume in Å³/cell: 217.7
DOS(E_F) in states/eV/f.u.: 14.58
Relative energy among the computed polymorphs in eV per atom: 0.000

Entry 5:
A geometry-optimized ZnSiIN2 structure, computed with PBE-GGA.

a b c (Å): 4.072 4.072 5.965
angles (deg): 90.00 90.00 90.00
Atoms (fractional coordinates):
Si 0.500 0.500 0.500
I 0.000 0.000 0.500
N 0.500 0.000 0.000
N 0.000 0.500 0.000
Zn 0.000 0.000 0.000

Output
Final energy in eV per atom: -3.283
Formation energy (no corrections) in meV/atom: 1697
Calculated volume in Å³/cell: 98.9
DOS(E_F) in states/eV/f.u.: 2.53
Relative energy among the computed polymorphs in eV per atom: 1.018

Entry 6:
A geometry-optimized La2PmHo3 structure, computed with PBE-GGA.

a b c (Å): 6.968 9.241 7.042
angles (deg): 101.00 90.00 112.15
Atoms (fractional coordinates):
La 0.331 0.647 0.911
La 0.316 0.647 0.411
La 0.684 0.353 0.589
La 0.669 0.353 0.089
Ho 0.858 0.727 0.433
Ho 0.264 0.000 0.250
Ho 0.131 0.273 0.067
Ho 0.142 0.273 0.567
Ho 0.736 0.000 0.750
Ho 0.869 0.727 0.933
Pm 0.735 0.000 0.250
Pm 0.265 0.000 0.750

Output
Final energy in eV per atom: -4.582
Calculated volume in Å³/cell: 411.0
DOS(E_F) in states/eV/f.u.: 9.70
Relative energy among the computed polymorphs in eV per atom: 0.047